Material: CaBe2In
Method: DFT, PBE-GGA
State: relaxed

Properties
DFT formation energy, eV per atom: 0.062
V, Å³ per atom: 19.54
VASP energy, eV/atom: -2.986
Density of states at the Fermi level, states/eV per cell: 1.31

Cell: 4.002 4.002 6.092 Å, 70.79 70.79 59.96°
Element x y z (fractional)
Be  0.029  0.029  0.912
Be  0.694  0.694  0.917
In  0.291  0.291  0.127
Ca  0.485  0.485  0.544



Material: CaBeIn2
Method: DFT, PBE-GGA
State: relaxed

Properties
DFT formation energy, eV per atom: 0.141
V, Å³ per atom: 23.00
VASP energy, eV/atom: -2.660
Density of states at the Fermi level, states/eV per cell: 1.90

Cell: 5.449 5.449 5.449 Å, 130.26 130.26 72.99°
Element x y z (fractional)
Ca  0.750  0.250  0.500
Be  0.500  0.500  0.000
In  0.250  0.750  0.500
In  0.000  0.000  0.000



Material: CaBeIn2
Method: DFT, PBE-GGA
State: relaxed

Properties
DFT formation energy, eV per atom: 0.107
V, Å³ per atom: 23.30
VASP energy, eV/atom: -2.695
Density of states at the Fermi level, states/eV per cell: 1.96

Cell: 3.673 3.489 7.274 Å, 90.00 90.00 90.00°
Element x y z (fractional)
In  0.000  0.000  0.035
In  0.500  0.500  0.297
Ca  0.500  0.500  0.728
Be  0.000  0.000  0.440



Material: CaBe2In
Method: DFT, PBE-GGA
State: relaxed

Properties
DFT formation energy, eV per atom: 0.304
V, Å³ per atom: 20.33
VASP energy, eV/atom: -2.744
Density of states at the Fermi level, states/eV per cell: 1.95

Cell: 4.306 3.651 5.173 Å, 90.00 90.00 90.00°
Element x y z (fractional)
Be  0.000  0.750  0.012
Be  0.000  0.750  0.488
Ca  0.500  0.250  0.250
In  0.500  0.750  0.750



Material: CaBe3In
Method: DFT, PBE-GGA
State: relaxed

Properties
DFT formation energy, eV per atom: 1.800
V, Å³ per atom: 28.06
VASP energy, eV/atom: -1.384
Density of states at the Fermi level, states/eV per cell: 5.13

Cell: 5.196 5.196 5.196 Å, 90.00 90.00 90.00°
Element x y z (fractional)
Be  0.000  0.500  0.000
Be  0.500  0.000  0.000
Be  0.000  0.000  0.500
In  0.500  0.500  0.500
Ca  0.000  0.000  0.000



Material: CaBeIn2
Method: DFT, PBE-GGA
State: relaxed

Properties
DFT formation energy, eV per atom: 0.218
V, Å³ per atom: 27.89
VASP energy, eV/atom: -2.583
Density of states at the Fermi level, states/eV per cell: 3.45

Cell: 5.095 5.095 9.319 Å, 74.13 74.13 90.00°
Element x y z (fractional)
In  0.875  0.737  0.750
In  0.375  0.513  0.750
In  0.487  0.125  0.250
In  0.263  0.625  0.250
Be  0.250  0.750  0.500
Be  0.500  0.500  0.000
Ca  0.000  0.000  0.000
Ca  0.750  0.250  0.500



Material: CaBeIn2
Method: DFT, PBE-GGA
State: relaxed

Properties
DFT formation energy, eV per atom: 0.040
V, Å³ per atom: 22.21
VASP energy, eV/atom: -2.762
Density of states at the Fermi level, states/eV per cell: 0.77

Cell: 3.387 3.387 7.802 Å, 90.00 90.00 96.85°
Element x y z (fractional)
In  0.000  0.000  0.448
In  0.000  0.000  0.052
Be  0.500  0.500  0.250
Ca  0.500  0.500  0.750



Material: CaBeIn
Method: DFT, PBE-GGA
State: relaxed

Properties
DFT formation energy, eV per atom: -0.066
V, Å³ per atom: 22.25
VASP energy, eV/atom: -2.888
Density of states at the Fermi level, states/eV per cell: 1.53

Cell: 4.529 4.529 3.758 Å, 90.00 90.00 120.00°
Element x y z (fractional)
In  0.667  0.333  0.834
Be  0.000  0.000  0.832
Ca  0.333  0.667  0.334



> What is the formula in the sixth record?

CaBeIn2



> The lowest DFT formation energy belongs to which entry?

CaBeIn



What did the first record say?
Material: CaBe2In
Method: DFT, PBE-GGA
State: relaxed

Properties
DFT formation energy, eV per atom: 0.062
V, Å³ per atom: 19.54
VASP energy, eV/atom: -2.986
Density of states at the Fermi level, states/eV per cell: 1.31

Cell: 4.002 4.002 6.092 Å, 70.79 70.79 59.96°
Element x y z (fractional)
Be  0.029  0.029  0.912
Be  0.694  0.694  0.917
In  0.291  0.291  0.127
Ca  0.485  0.485  0.544



> Number 1 is which compound?

CaBe2In